DFT (PBE-GGA) results for a relaxed LiReBi2 crystal.

Summary:
The formation enthalpy at 0 K comes out at 411.5 meV/atom. The calculation puts the density of states at the Fermi level at 2.3 states/eV/f.u. The calculation puts the volume at 20.503 A^3/atom. The total energy is -5.12 eV per atom. Its theoretical density is 12.4 g/cm³.

abc: 6.8967 6.8967 6.8967
angles: 90.00 90.00 90.00
Last column: nearest neighbours and their distance in Å.
Space group Fm-3m (No. 225)
Unique sites:
Li: 0.0000 0.0000 0.0000 (multiplicity 4)  8 Bi 2.99
Re: 0.0000 0.0000 0.5000 (multiplicity 4)  8 Bi 2.99
Bi: 0.2500 0.2500 0.2500 (multiplicity 8)  4 Re 2.99, 4 Li 2.99

=====

DFT (PBE-GGA) results for a relaxed LiRe2Bi crystal.

Summary:
The formation enthalpy at 0 K comes out at 700.5 meV/atom. The calculation puts the density of states at the Fermi level at 2.3 states/eV/f.u. The calculation puts the volume at 18.548 A^3/atom. The total energy is -6.97 eV per atom. Its theoretical density is 13.2 g/cm³.

abc: 3.9109 3.9109 19.4027
angles: 90.00 90.00 90.00
Last column: nearest neighbours and their distance in Å.
Space group I-42d (No. 122)
Unique sites:
Li: 0.0000 0.0000 0.0000 (multiplicity 4)  4 Re 2.71, 4 Bi 2.77
Re: 0.1840 0.2500 0.1250 (multiplicity 8)  2 Re 2.43, 2 Li 2.71
Bi: 0.0000 0.0000 0.5000 (multiplicity 4)  4 Li 2.77, 4 Re 2.89

=====

DFT (PBE-GGA) results for a relaxed LiReBi3 crystal.

Summary:
The formation enthalpy at 0 K comes out at 682.2 meV/atom. The calculation puts the density of states at the Fermi level at 2.9 states/eV/f.u. The calculation puts the volume at 31.827 A^3/atom. The total energy is -4.52 eV per atom. Its theoretical density is 8.6 g/cm³.

abc: 5.4190 5.4190 5.4190
angles: 90.00 90.00 90.00
Last column: nearest neighbours and their distance in Å.
Space group Pm-3m (No. 221)
Unique sites:
Li: 0.0000 0.0000 0.0000 (multiplicity 1)  12 Bi 3.83
Re: 0.5000 0.5000 0.5000 (multiplicity 1)  6 Bi 2.71
Bi: 0.0000 0.5000 0.5000 (multiplicity 3)  2 Re 2.71